The following is a PBE calculation of PrHAu after structural relaxation, from Alexandria via LeMat-Bulk.

Its total energy is -4.13 eV/atom. As for the magnetic moment: 0.00 μB/f.u. Its relative energy among the computed polymorphs is 0.380 eV/atom. Its density of states at the Fermi level is 0.68 states/eV per atom.

The space group is I4mm (No. 107) and the conventional cell measures 3.664, 3.664 and 9.280 Å, with angles of 90.00, 90.00 and 90.00 degrees. The asymmetric unit holds Pr at (0.000, 0.000, 0.000), H at (0.000, 0.000, 0.465) and Au at (0.000, 0.000, 0.684).

The following is a PBE calculation of CsErBi2 after structural relaxation, from Alexandria via LeMat-Bulk.

Its total energy is -3.64 eV/atom. As for the magnetic moment: 0.00 μB/f.u. Its relative energy among the computed polymorphs is 0.137 eV/atom. Its density of states at the Fermi level is 0.94 states/eV per atom.

The space group is R3m (No. 160, hexagonal axes) and the conventional cell measures 4.7874, 4.7874 and 26.5462 Å, with angles of 90.00, 90.00 and 120.00 degrees. The asymmetric unit holds Cs at (0.0000, 0.0000, 0.0000), Er at (0.0000, 0.0000, 0.8293), Bi at (0.0000, 0.0000, 0.2194) and Bi at (0.0000, 0.0000, 0.4405).

The following is a PBE calculation of CdHgRu2 after structural relaxation, from Alexandria via LeMat-Bulk.

Its total energy is -4.33 eV/atom. As for the magnetic moment: 2.50 μB/f.u. Its relative energy among the computed polymorphs is 0.417 eV/atom. Its density of states at the Fermi level is 0.76 states/eV per atom.

The space group is P4/mmm (No. 123) and the conventional cell measures 3.258, 3.258 and 6.485 Å, with angles of 90.00, 90.00 and 90.00 degrees. The asymmetric unit holds Cd at (0.000, 0.000, 0.000), Hg at (0.000, 0.000, 0.500) and Ru at (0.500, 0.500, 0.250).

The following is a PBE calculation of Tb6SmMg2 after structural relaxation, from Alexandria via LeMat-Bulk.

Its total energy is -3.88 eV/atom. As for the magnetic moment: 0.00 μB/f.u. Its density of states at the Fermi level is 1.09 states/eV per atom.

The space group is C2/c (No. 15) and the conventional cell measures 13.279, 12.896 and 6.569 Å, with angles of 90.00, 103.05 and 90.00 degrees. The asymmetric unit holds Tb at (0.031, 0.148, 0.001), Tb at (0.123, 0.412, 0.829), Tb at (0.243, 0.205, 0.733), Sm at (0.000, 0.361, 0.250) and Mg at (0.180, 0.029, 0.365).

The following is a PBE calculation of Al3MoAs after structural relaxation, from Alexandria via LeMat-Bulk.

Its total energy is -4.13 eV/atom. As for the magnetic moment: 0.00 μB/f.u. Its relative energy among the computed polymorphs is 0.384 eV/atom. Its density of states at the Fermi level is 1.01 states/eV per atom.

The space group is Pm-3m (No. 221) and the conventional cell measures 4.682, 4.682 and 4.682 Å, with angles of 90.00, 90.00 and 90.00 degrees. The asymmetric unit holds Al at (0.000, 0.000, 0.500), Mo at (0.500, 0.500, 0.500) and As at (0.000, 0.000, 0.000).

The following is a PBE calculation of Cs8TeAs2 after structural relaxation, from Alexandria via LeMat-Bulk.

Its total energy is -2.20 eV/atom. The energy relative to the elements, uncorrected comes out at -0.4522 eV per atom. As for the magnetic moment: 0.00 μB/f.u. Its density of states at the Fermi level is 0.06 states/eV per atom.

The space group is Immm (No. 71) and the conventional cell measures 6.099, 9.462 and 18.564 Å, with angles of 90.00, 90.00 and 90.00 degrees. The asymmetric unit holds Cs at (0.000, 0.000, 0.165), Cs at (0.000, 0.224, 0.341), Cs at (0.000, 0.294, 0.000), Te at (0.000, 0.500, 0.500) and As at (0.000, 0.500, 0.181).